{"formula": "PrHoP2Rh5", "functional": "PBE-GGA", "state": "optimized geometry", "magmom_total_mub_per_cell": 0.00, "formation_energy_ev_per_atom": -0.769, "rho_g_cm3": 8.305, "e_tot_ev_per_cell": -63.9, "lattice_angstrom": [[4.073, 0.000, 0.000], [0.000, 4.073, 0.000], [0.000, 0.000, 10.633]], "species": ["Rh", "Rh", "Rh", "Rh", "Rh", "Ho", "P", "P", "Pr"], "fractional_positions": [[0.500, 0.000, 0.806], [0.000, 0.500, 0.806], [0.500, 0.500, 0.500], [0.000, 0.500, 0.194], [0.500, 0.000, 0.194], [0.000, 0.000, 0.000], [0.500, 0.500, 0.714], [0.500, 0.500, 0.286], [0.000, 0.000, 0.500]]}


{"formula": "Pr2HoP3Rh4", "functional": "PBE-GGA", "state": "optimized geometry", "magmom_total_mub_per_cell": 0.00, "formation_energy_ev_per_atom": -1.059, "rho_g_cm3": 8.590, "e_tot_ev_per_cell": -70.4, "lattice_angstrom": [[-3.538, 1.400, -1.389], [-1.931, -3.038, 1.858], [-1.106, 6.322, 9.187]], "species": ["Rh", "Rh", "Rh", "Rh", "P", "P", "P", "Pr", "Pr", "Ho"], "fractional_positions": [[0.500, 0.500, 0.000], [0.000, 0.000, 0.000], [0.000, 0.500, 0.334], [0.500, 0.000, 0.666], [0.000, 0.500, 0.124], [0.000, 0.000, 0.500], [0.500, 0.000, 0.876], [0.500, 0.000, 0.225], [0.000, 0.500, 0.775], [0.500, 0.500, 0.500]]}


{"formula": "PrHoPS", "functional": "PBE-GGA", "state": "optimized geometry", "magmom_total_mub_per_cell": 0.00, "rho_g_cm3": 6.503, "e_tot_ev_per_cell": -26.3, "lattice_angstrom": [[4.039, 0.000, 0.000], [2.020, 3.498, 0.000], [2.020, 1.166, 6.666]], "species": ["Pr", "S", "Ho", "P"], "fractional_positions": [[0.997, 0.997, 0.009], [0.755, 0.755, 0.734], [0.503, 0.503, 0.492], [0.245, 0.245, 0.266]]}


{"formula": "Pr2HoScP4", "functional": "PBE-GGA", "state": "optimized geometry", "magmom_total_mub_per_cell": 0.00, "formation_energy_ev_per_atom": -1.494, "rho_g_cm3": 5.466, "e_tot_ev_per_cell": -54.1, "lattice_angstrom": [[-0.125, 3.424, -2.162], [-6.764, -1.148, -1.428], [0.544, 3.734, 5.883]], "species": ["P", "P", "P", "P", "Pr", "Pr", "Ho", "Sc"], "fractional_positions": [[0.000, 0.750, 0.232], [0.000, 0.250, 0.768], [0.500, 0.237, 0.228], [0.500, 0.763, 0.772], [0.500, 0.000, 0.500], [0.000, 0.500, 0.500], [0.500, 0.500, 0.000], [0.000, 0.000, 0.000]]}


{"formula": "PrHoPSe", "functional": "PBE-GGA", "state": "optimized geometry", "magmom_total_mub_per_cell": 0.00, "rho_g_cm3": 6.842, "e_tot_ev_per_cell": -25.1, "lattice_angstrom": [[-1.926, -1.292, 3.315], [3.870, 1.159, 0.230], [-2.085, 7.140, -0.895]], "species": ["Se", "Pr", "Ho", "P"], "fractional_positions": [[0.958, 0.377, 0.350], [0.486, 0.141, 0.643], [0.119, 0.957, 0.091], [0.315, 0.555, 0.885]]}


{"formula": "Pr2SmHoP4", "functional": "PBE-GGA", "state": "optimized geometry", "magmom_total_mub_per_cell": 0.00, "formation_energy_ev_per_atom": -1.545, "rho_g_cm3": 6.022, "e_tot_ev_per_cell": -52.9, "lattice_angstrom": [[4.129, 0.000, 0.000], [0.000, 7.145, 0.125], [0.000, -2.498, 6.694]], "species": ["Pr", "Pr", "P", "P", "P", "P", "Ho", "Sm"], "fractional_positions": [[0.000, 0.500, 0.500], [0.500, 0.000, 0.500], [0.500, 0.251, 0.242], [0.000, 0.743, 0.240], [0.500, 0.749, 0.758], [0.000, 0.257, 0.760], [0.500, 0.500, 0.000], [0.000, 0.000, 0.000]]}


{"formula": "PrSmHo2P4", "functional": "PBE-GGA", "state": "optimized geometry", "magmom_total_mub_per_cell": 0.00, "formation_energy_ev_per_atom": -1.569, "rho_g_cm3": 6.475, "e_tot_ev_per_cell": -52.8, "lattice_angstrom": [[4.075, 0.000, 0.000], [0.000, 7.049, -0.138], [0.000, 2.481, 6.604]], "species": ["Pr", "Ho", "Ho", "P", "P", "P", "P", "Sm"], "fractional_positions": [[0.500, 0.500, 0.000], [0.000, 0.000, 0.000], [0.500, 0.000, 0.500], [0.000, 0.239, 0.256], [0.500, 0.241, 0.751], [0.000, 0.761, 0.744], [0.500, 0.759, 0.249], [0.000, 0.500, 0.500]]}


{"formula": "Tb2PrHo3P6", "functional": "PBE-GGA", "state": "optimized geometry", "magmom_total_mub_per_cell": 0.00, "formation_energy_ev_per_atom": -1.588, "rho_g_cm3": 6.771, "e_tot_ev_per_cell": -79.3, "lattice_angstrom": [[6.995, -0.001, 0.001], [-3.496, 6.058, 0.001], [-1.166, -2.020, 6.594]], "species": ["P", "P", "P", "P", "P", "P", "Ho", "Ho", "Ho", "Tb", "Tb", "Pr"], "fractional_positions": [[0.576, 0.915, 0.744], [0.085, 0.424, 0.256], [0.254, 0.254, 0.744], [0.424, 0.085, 0.256], [0.746, 0.746, 0.256], [0.915, 0.576, 0.744], [0.500, 0.500, 0.500], [0.166, 0.834, 0.500], [0.834, 0.166, 0.500], [0.667, 0.333, 0.000], [0.333, 0.667, 0.000], [0.000, 0.000, 0.000]]}


{"formula": "TbPrHo2P4", "functional": "PBE-GGA", "state": "optimized geometry", "magmom_total_mub_per_cell": 0.00, "formation_energy_ev_per_atom": -1.569, "rho_g_cm3": 6.638, "e_tot_ev_per_cell": -52.8, "lattice_angstrom": [[-2.000, -5.256, 1.114], [1.746, 0.489, 5.439], [-4.956, 4.621, -1.846]], "species": ["Ho", "Ho", "P", "P", "P", "P", "Pr", "Tb"], "fractional_positions": [[0.687, 0.187, 0.500], [0.187, 0.687, 0.500], [0.191, 0.191, 0.508], [0.937, 0.437, 0.000], [0.683, 0.683, 0.492], [0.437, 0.937, 0.000], [0.937, 0.937, 0.000], [0.437, 0.437, 0.000]]}


{"formula": "Tb2PrHoP4", "functional": "PBE-GGA", "state": "optimized geometry", "magmom_total_mub_per_cell": 0.00, "formation_energy_ev_per_atom": -1.573, "rho_g_cm3": 6.540, "e_tot_ev_per_cell": -52.8, "lattice_angstrom": [[-1.718, 5.147, -1.898], [-3.797, -2.551, -3.480], [-1.199, -1.085, 6.849]], "species": ["P", "P", "P", "P", "Tb", "Tb", "Pr", "Ho"], "fractional_positions": [[0.937, 0.437, 0.000], [0.437, 0.937, 0.000], [0.192, 0.192, 0.510], [0.682, 0.682, 0.490], [0.687, 0.187, 0.500], [0.187, 0.687, 0.500], [0.937, 0.937, 0.000], [0.437, 0.437, 0.000]]}


{"formula": "PrHoTm2P4", "functional": "PBE-GGA", "state": "optimized geometry", "magmom_total_mub_per_cell": 0.00, "formation_energy_ev_per_atom": -1.567, "rho_g_cm3": 6.914, "e_tot_ev_per_cell": -52.5, "lattice_angstrom": [[-3.744, -0.697, 1.307], [1.095, -6.861, -0.520], [2.551, -2.409, 6.022]], "species": ["P", "P", "P", "P", "Ho", "Pr", "Tm", "Tm"], "fractional_positions": [[0.000, 0.239, 0.260], [0.500, 0.757, 0.253], [0.000, 0.761, 0.740], [0.500, 0.243, 0.747], [0.000, 0.500, 0.500], [0.500, 0.500, 0.000], [0.500, 0.000, 0.500], [0.000, 0.000, 0.000]]}


{"formula": "PrY2HoP4", "functional": "PBE-GGA", "state": "optimized geometry", "magmom_total_mub_per_cell": 0.00, "formation_energy_ev_per_atom": -1.583, "rho_g_cm3": 5.341, "e_tot_ev_per_cell": -56.6, "lattice_angstrom": [[4.059, 0.000, 0.000], [0.000, 7.024, 0.123], [0.000, -2.457, 6.582]], "species": ["P", "P", "P", "P", "Ho", "Y", "Y", "Pr"], "fractional_positions": [[0.500, 0.755, 0.748], [0.500, 0.245, 0.252], [0.000, 0.758, 0.257], [0.000, 0.242, 0.743], [0.000, 0.000, 0.000], [0.000, 0.500, 0.500], [0.500, 0.000, 0.500], [0.500, 0.500, 0.000]]}